1.
Here is a relaxed ErAl2 crystal from the Open Quantum Materials Database. Energies are from GGA-PBE.

a = 5.7443 Å, b = 5.7443 Å, c = 5.5227 Å
α = 90.00°, β = 90.00°, γ = 90.00°
Closest atoms and distances in Å follow each position.
Space group P4_2/mnm (No. 136)
Unique sites:
Er1 0.0000 0.0000 0.0000 x2  6 Al 2.82-3.03
Al1 0.1525 0.1525 0.5000 x4  1 Al 2.48

* spin magnetization: 0.001 μB/atom
* E: -3.444 eV per atom



2.
Here is a relaxed Li3Sc2Nb3O12 crystal from the Open Quantum Materials Database. Energies are from GGA-PBE.

a = 11.7227 Å, b = 11.7227 Å, c = 11.7227 Å
α = 90.00°, β = 90.00°, γ = 90.00°
Closest atoms and distances in Å follow each position.
Space group Ia-3d (No. 230)
Unique sites:
Li1 0.0000 0.2500 0.3750 x24  4 O 1.82
Sc1 0.0000 0.0000 0.0000 x16  6 O 2.05
Nb1 0.0000 0.2500 0.1250 x24  8 O 2.13-2.23
O1 0.0247 0.0729 0.6573 x96  1 Li 1.82

* spin magnetization: 0.000 μB/atom
* E: -7.871 eV per atom



3.
Here is a relaxed YAlFe crystal from the Open Quantum Materials Database. Energies are from GGA-PBE.

a = 6.4477 Å, b = 6.4477 Å, c = 6.4477 Å
α = 90.00°, β = 90.00°, γ = 90.00°
Closest atoms and distances in Å follow each position.
Space group F-43m (No. 216)
Unique sites:
Y1 0.0000 0.0000 0.0000 x4  4 Fe 2.79, 4 Al 2.79
Al1 0.2500 0.2500 0.7500 x4  4 Y 2.79
Fe1 0.2500 0.2500 0.2500 x4  4 Y 2.79

* spin magnetization: 0.725 μB/atom
* E: -5.287 eV per atom



4.
Here is a relaxed ScCuAgHg crystal from the Open Quantum Materials Database. Energies are from GGA-PBE.

a = 6.6021 Å, b = 6.6021 Å, c = 6.6021 Å
α = 90.00°, β = 90.00°, γ = 90.00°
Closest atoms and distances in Å follow each position.
Space group F-43m (No. 216)
Unique sites:
Sc1 0.0000 0.0000 0.0000 x4  4 Cu 2.86, 4 Ag 2.86
Cu1 0.2500 0.2500 0.7500 x4  4 Hg 2.86, 4 Sc 2.86
Ag1 0.2500 0.2500 0.2500 x4  4 Hg 2.86, 4 Sc 2.86
Hg1 0.0000 0.0000 0.5000 x4  4 Cu 2.86, 4 Ag 2.86

* spin magnetization: 0.003 μB/atom
* energy of formation from the pure elements: -0.69 eV/f.u.
* energy relative to the lowest polymorph listed for this composition: 0 meV/atom



5.
Here is a relaxed K2ThP3Se9 crystal from the Open Quantum Materials Database. Energies are from GGA-PBE.

a = 10.3106 Å, b = 10.6625 Å, c = 16.8265 Å
α = 89.91°, β = 72.62°, γ = 88.61°
Closest atoms and distances in Å follow each position.
Space group P-1 (No. 2)
Unique sites:
K1 0.0279 0.2424 0.4665 x2  6 Se 3.43-3.83
K2 0.2394 0.1921 0.1383 x2  7 Se 3.41-3.73
K3 0.2947 0.6693 0.8511 x2  8 Se 3.34-3.66
K4 0.4499 0.7630 0.5462 x2  8 Se 3.53-3.88
Th1 0.1946 0.7233 0.2210 x2  9 Se 3.02-3.22
Th2 0.2260 0.2184 0.8307 x2  9 Se 3.00-3.27
P1 0.0503 0.5393 0.7252 x2  3 Se 2.15-2.29, 1 P 2.26
P2 0.0715 0.9248 0.0092 x2  3 Se 2.20-2.25, 1 P 2.24
P3 0.2212 0.4128 0.6499 x2  3 Se 2.15-2.28, 1 P 2.26
P4 0.2751 0.9309 0.3765 x2  3 Se 2.15-2.23, 1 P 2.27
P5 0.4646 0.0017 0.2820 x2  3 Se 2.17-2.27, 1 P 2.27
P6 0.4894 0.5717 0.0536 x2  3 Se 2.21-2.23, 1 P 2.32
Se1 0.0026 0.5631 0.1497 x2  1 P 2.29
Se2 0.0122 0.2549 0.0135 x2  1 P 2.20
Se3 0.0332 0.9338 0.1482 x2  1 P 2.25
Se4 0.1084 0.7325 0.7214 x2  1 P 2.15
Se5 0.1089 0.2280 0.6736 x2  1 P 2.28
Se6 0.1119 0.4964 0.3332 x2  1 P 2.22
Se7 0.1258 0.9815 0.3084 x2  1 P 2.23
Se8 0.2469 0.0135 0.4974 x2  1 P 2.15
Se9 0.2752 0.9870 0.9340 x2  1 P 2.22
Se10 0.2859 0.4654 0.5211 x2  1 P 2.15
Se11 0.2879 0.7234 0.3753 x2  1 P 2.21
Se12 0.2948 0.3807 0.9634 x2  1 P 2.23
Se13 0.3520 0.0539 0.6821 x2  1 P 2.22
Se14 0.3635 0.7315 0.0326 x2  1 P 2.21
Se15 0.3760 0.4193 0.7173 x2  1 P 2.22
Se16 0.3759 0.4886 0.1745 x2  1 P 2.22
Se17 0.4271 0.2017 0.2739 x2  1 P 2.17
Se18 0.4695 0.8781 0.1712 x2  1 P 2.27

* spin magnetization: 0.000 μB/atom
* energy relative to the lowest polymorph listed for this composition: 2 meV/atom



6.
Here is a relaxed ZnReAsO crystal from the Open Quantum Materials Database. Energies are from GGA-PBE.

a = 3.9211 Å, b = 4.9586 Å, c = 5.8501 Å
α = 90.00°, β = 90.00°, γ = 90.00°
Closest atoms and distances in Å follow each position.
Space group Pmc2_1 (No. 26)
Unique sites:
Zn1 0.0000 0.1954 0.0000 x2  2 O 2.23
Re1 0.5000 0.4022 0.3394 x2  2 O 1.96
As1 0.5000 0.1098 0.6975 x2  3 Re 2.55-2.67, 4 Zn 2.68-2.73
O1 0.0000 0.3973 0.3400 x2  2 Re 1.96

* spin magnetization: 0.002 μB/atom
* energy relative to the lowest polymorph listed for this composition: 151 meV/atom



7.
Here is a relaxed Lu4TlGeN2 crystal from the Open Quantum Materials Database. Energies are from GGA-PBE.

a = 3.4223 Å, b = 3.4223 Å, c = 14.6258 Å
α = 90.00°, β = 90.00°, γ = 120.00°
Closest atoms and distances in Å follow each position.
Space group P-6m2 (No. 187)
Unique sites:
Lu1 0.0000 0.0000 0.1503 x2  3 N 2.37
Lu2 0.3333 0.6667 0.3267 x2  3 N 2.35
Tl1 0.0000 0.0000 0.5000 x1  6 Lu 3.21, 6 Tl 3.42
Ge1 0.3333 0.6667 0.0000 x1  6 Lu 2.96
N1 0.6667 0.3333 0.2397 x2  6 Lu 2.35-2.37

* spin magnetization: 0.000 μB/atom
* E: -6.350 eV per atom



8.
Here is a relaxed HfGaCuPt crystal from the Open Quantum Materials Database. Energies are from GGA-PBE.

a = 6.3379 Å, b = 6.3379 Å, c = 6.3379 Å
α = 90.00°, β = 90.00°, γ = 90.00°
Closest atoms and distances in Å follow each position.
Space group F-43m (No. 216)
Unique sites:
Hf1 0.0000 0.0000 0.0000 x4  4 Cu 2.74, 4 Pt 2.74
Ga1 0.0000 0.0000 0.5000 x4  4 Cu 2.74, 4 Pt 2.74
Cu1 0.2500 0.2500 0.2500 x4  4 Hf 2.74, 4 Ga 2.74
Pt1 0.2500 0.2500 0.7500 x4  4 Hf 2.74, 4 Ga 2.74

* spin magnetization: 0.000 μB/atom
* energy relative to the lowest polymorph listed for this composition: 0 meV/atom



9.
Here is a relaxed Hf4InGaC2 crystal from the Open Quantum Materials Database. Energies are from GGA-PBE.

a = 3.3051 Å, b = 3.3051 Å, c = 14.4479 Å
α = 90.00°, β = 90.00°, γ = 120.00°
Closest atoms and distances in Å follow each position.
Space group P-6m2 (No. 187)
Unique sites:
Hf1 0.0000 0.0000 0.1572 x2  3 C 2.28
Hf2 0.3333 0.6667 0.3276 x2  3 C 2.26
In1 0.0000 0.0000 0.5000 x1  6 Hf 3.14, 6 In 3.31
Ga1 0.3333 0.6667 0.0000 x1  6 Hf 2.97, 6 Ga 3.31
C1 0.6667 0.3333 0.2433 x2  6 Hf 2.26-2.28

* spin magnetization: 0.000 μB/atom
* E: -8.745 eV per atom



10.
Here is a relaxed KBeIrW crystal from the Open Quantum Materials Database. Energies are from GGA-PBE.

a = 6.4643 Å, b = 6.4643 Å, c = 6.4643 Å
α = 90.00°, β = 90.00°, γ = 90.00°
Closest atoms and distances in Å follow each position.
Space group F-43m (No. 216)
Unique sites:
K1 0.0000 0.0000 0.0000 x4  4 Be 2.80, 4 Ir 2.80
Be1 0.2500 0.2500 0.7500 x4  4 W 2.80, 4 K 2.80
Ir1 0.2500 0.2500 0.2500 x4  4 W 2.80, 4 K 2.80
W1 0.0000 0.0000 0.5000 x4  4 Ir 2.80, 4 Be 2.80

* spin magnetization: 0.002 μB/atom
* energy relative to the lowest polymorph listed for this composition: 269 meV/atom



11.
Here is a relaxed PrTmNb crystal from the Open Quantum Materials Database. Energies are from GGA-PBE.

a = 7.2405 Å, b = 7.2405 Å, c = 7.2405 Å
α = 90.00°, β = 90.00°, γ = 90.00°
Closest atoms and distances in Å follow each position.
Space group F-43m (No. 216)
Unique sites:
Pr1 0.0000 0.0000 0.0000 x4  4 Nb 3.14
Tm1 0.0000 0.0000 0.5000 x4  4 Nb 3.14
Nb1 0.2500 0.2500 0.2500 x4  4 Pr 3.14, 4 Tm 3.14

* spin magnetization: 0.810 μB/atom
* energy of formation from the pure elements: 2.45 eV/f.u.
* energy relative to the lowest polymorph listed for this composition: 0 meV/atom



12.
Here is a relaxed NdPbS2 crystal from the Open Quantum Materials Database. Energies are from GGA-PBE.

a = 4.1542 Å, b = 4.1542 Å, c = 5.9022 Å
α = 90.00°, β = 90.00°, γ = 90.00°
Closest atoms and distances in Å follow each position.
Space group P4/mmm (No. 123)
Unique sites:
Nd1 0.0000 0.0000 0.0000 x1  6 S 2.94-2.95
Pb1 0.5000 0.5000 0.5000 x1  6 S 2.94-2.95
S1 0.0000 0.0000 0.5000 x1  4 Pb 2.94, 2 Nd 2.95
S2 0.5000 0.5000 0.0000 x1  4 Nd 2.94, 2 Pb 2.95

* spin magnetization: 0.000 μB/atom
* E: -5.374 eV per atom